[1]
A plane-wave DFT calculation with SCAN was carried out for CrCoOs2 at its PBEsol-relaxed geometry.

Cell lengths 3.668, 3.668, 4.499 Å; angles 114.06, 114.06, 90.00 degrees
Last column: magnetic moment on the atom in μB.
Sites, in units of the cell vectors:
Cr1 0.250 0.750 0.500  1.72
Os1 0.000 0.000 0.000  -0.21
Co1 0.500 0.500 0.000  -0.97
Os2 0.750 0.250 0.500  -0.06

Calculated values
ΔH_f (0 K) in kJ/mol of formula units: 35
Calculated volume in Å³/atom: 12.4
Total moment in μB/f.u.: 0.53



[2]
A plane-wave DFT calculation with SCAN was carried out for CrCoOs at its PBEsol-relaxed geometry.

Cell lengths 2.604, 2.604, 6.155 Å; angles 90.00, 90.00, 120.00 degrees
Last column: magnetic moment on the atom in μB.
Sites, in units of the cell vectors:
Cr1 0.667 0.333 0.675  0.15
Co1 0.000 0.000 0.988  1.70
Os1 0.333 0.667 0.337  0.14

Calculated values
ΔH_f (0 K) in kJ/mol of formula units: 71
Calculated volume in Å³/atom: 12.1
Total moment in μB/f.u.: 1.99



[3]
A plane-wave DFT calculation with SCAN was carried out for CrCoOs2 at its PBEsol-relaxed geometry.

Cell lengths 2.636, 4.432, 4.432 Å; angles 107.21, 90.00, 90.00 degrees
Last column: magnetic moment on the atom in μB.
Sites, in units of the cell vectors:
Co1 0.500 0.000 0.000  -0.99
Os1 0.000 0.500 0.000  -0.24
Cr1 0.500 0.500 0.500  1.80
Os2 0.000 0.000 0.500  -0.24

Calculated values
ΔH_f (0 K) in kJ/mol of formula units: 59
Calculated volume in Å³/atom: 12.4
Total moment in μB/f.u.: 0.39



[4]
A plane-wave DFT calculation with SCAN was carried out for CrCoOs2 at its PBEsol-relaxed geometry.

Cell lengths 3.728, 3.728, 4.424 Å; angles 114.92, 114.92, 90.00 degrees
Last column: magnetic moment on the atom in μB.
Sites, in units of the cell vectors:
Cr1 0.000 0.000 0.000  0.52
Co1 0.500 0.500 0.000  0.61
Os1 0.250 0.750 0.500  -0.17
Os2 0.750 0.250 0.500  -0.17

Calculated values
ΔH_f (0 K) in kJ/mol of formula units: 50
Calculated volume in Å³/atom: 12.3
Total moment in μB/f.u.: 0.77



Number 1: E_tot -179.08 eV per cell. Number 2: E_tot -106.83 eV per cell. Number 3: E_tot -178.83 eV per cell. Number 4: E_tot -178.93 eV per cell.